Entry 1:
! NaNdTm, relaxed, DFT PBE; values from VASP
! Fermi-level density of states	6.144	states/eV per cell
! space group	C2
! formation energy from the elements	0.173	eV per atom
! density	5.65	g/cm³
! energy	-20.1	eV for the cell shown
&SYSTEM
  ibrav = 0, nat = 6, ntyp = 3
/
ATOMIC_SPECIES
Na 22.99 Na.upf
Nd 144.24 Nd.upf
Tm 168.93 Tm.upf
ATOMIC_POSITIONS angstrom
Na 1.627 0.000 0.002
Na 8.135 0.000 7.177
Nd 4.880 0.003 1.921
Nd 4.882 0.003 5.258
Tm 1.626 0.005 3.591
Tm 8.135 0.005 3.588
CELL_PARAMETERS angstrom
4.881 -2.818 0.000
4.881 2.818 0.000
-0.001 0.000 7.179

***

Entry 2:
! NaNd2Y, relaxed, DFT PBE; values from VASP
! Fermi-level density of states	4.677	states/eV per cell
! space group	P4/mmm
! formation energy from the elements	0.197	eV per atom
! density	4.91	g/cm³
! energy	-16.5	eV for the cell shown
&SYSTEM
  ibrav = 0, nat = 4, ntyp = 3
/
ATOMIC_SPECIES
Na 22.99 Na.upf
Nd 144.24 Nd.upf
Y 88.91 Y.upf
ATOMIC_POSITIONS angstrom
Na 0.000 0.000 0.000
Nd 0.000 2.994 1.887
Nd 2.994 0.000 1.887
Y 2.994 2.994 0.000
CELL_PARAMETERS angstrom
5.988 0.000 0.000
0.000 5.988 0.000
0.000 0.000 3.774

***

Entry 3:
! NaNd2Y, relaxed, DFT PBE; values from VASP
! Fermi-level density of states	4.568	states/eV per cell
! space group	P4/mmm
! formation energy from the elements	0.100	eV per atom
! density	4.78	g/cm³
! energy	-16.9	eV for the cell shown
&SYSTEM
  ibrav = 0, nat = 4, ntyp = 3
/
ATOMIC_SPECIES
Na 22.99 Na.upf
Nd 144.24 Nd.upf
Y 88.91 Y.upf
ATOMIC_POSITIONS angstrom
Na 0.000 0.000 0.000
Nd 1.776 1.776 2.929
Nd 1.776 1.776 8.109
Y 0.000 0.000 5.519
CELL_PARAMETERS angstrom
3.551 0.000 0.000
0.000 3.551 0.000
0.000 0.000 11.037